VASP calculation (PBE-GGA) on BaNaDyI6 after structural relaxation.

POSCAR file:
```
BaNaDyI6
1.0
8.097 0.000 0.000
-4.049 7.012 0.000
0.000 0.000 14.828
Ba Na Dy I
2 2 2 12
Direct
0.000 0.000 0.000
0.000 0.000 0.500
0.333 0.667 0.250
0.667 0.333 0.750
0.333 0.667 0.750
0.667 0.333 0.250
0.018 0.368 0.632
0.018 0.650 0.868
0.350 0.368 0.868
0.350 0.982 0.632
0.368 0.018 0.132
0.368 0.350 0.368
0.632 0.650 0.632
0.632 0.982 0.868
0.650 0.018 0.368
0.650 0.632 0.132
0.982 0.350 0.132
0.982 0.632 0.368
```

## Properties
Its crystal system is trigonal. The space-group type is No. 163. For the uncorrected energy, the calculation gives -3.37 eV per atom. The mass density is 4.3 Mg/m³. For the raw formation energy, the calculation gives -1.47 eV/atom.

VASP calculation (PBE-GGA) on NaUTcO6 after structural relaxation.

POSCAR file:
```
NaUTcO6
1.0
5.483 0.000 0.000
-2.742 4.749 0.000
0.000 0.000 10.157
Na U Tc O
2 2 2 12
Direct
0.000 0.000 0.000
0.000 0.000 0.500
0.333 0.667 0.250
0.667 0.333 0.750
0.333 0.667 0.750
0.667 0.333 0.250
0.015 0.377 0.646
0.015 0.639 0.854
0.361 0.377 0.854
0.361 0.985 0.646
0.377 0.015 0.146
0.377 0.361 0.354
0.623 0.639 0.646
0.623 0.985 0.854
0.639 0.015 0.354
0.639 0.623 0.146
0.985 0.361 0.146
0.985 0.623 0.354
```

## Properties
Its crystal system is trigonal. The space-group type is No. 163. For the uncorrected energy, the calculation gives -8.05 eV per atom. The mass density is 5.7 Mg/m³. For the raw formation energy, the calculation gives -2.19 eV/atom.

VASP calculation (PBE-GGA) on TlPAuO after structural relaxation.

POSCAR file:
```
TlPAuO
1.0
7.011 -1.416 0.000
7.011 1.416 0.000
-1.071 0.000 4.248
Tl P Au O
1 1 1 1
Direct
0.000 0.000 0.000
0.205 0.205 0.375
0.380 0.380 0.406
0.693 0.693 0.590
```

## Properties
Its crystal system is monoclinic. The value obtained for the energy above the most stable polymorph in this dataset is 255.6 meV per atom. The space-group type is No. 8. For the uncorrected energy, the calculation gives -4.32 eV per atom. The mass density is 8.8 Mg/m³. For the raw formation energy, the calculation gives -0.32 eV/atom.

VASP calculation (PBE-GGA) on Li3TiO after structural relaxation.

POSCAR file:
```
Li3TiO
1.0
5.134 0.000 0.000
0.000 5.134 0.000
0.000 0.000 5.134
Li Ti O
3 1 1
Direct
0.000 0.000 0.500
0.000 0.500 0.000
0.500 0.000 0.000
0.000 0.000 0.000
0.500 0.500 0.500
```

## Properties
Its crystal system is cubic. The value obtained for the energy above the most stable polymorph in this dataset is 1494.4 meV per atom. The space-group type is No. 221. For the uncorrected energy, the calculation gives -2.48 eV per atom. The mass density is 1.0 Mg/m³. For the raw formation energy, the calculation gives 1.24 eV/atom.

VASP calculation (PBE-GGA) on SrCu2Ni after structural relaxation.

POSCAR file:
```
SrCu2Ni
1.0
0.000 3.291 3.291
3.291 0.000 3.291
3.291 3.291 0.000
Sr Cu Ni
1 2 1
Direct
0.000 0.000 0.000
0.500 0.500 0.500
0.750 0.750 0.750
0.250 0.250 0.250
```

## Properties
Its crystal system is cubic. The space-group type is No. 216. For the uncorrected energy, the calculation gives -3.55 eV per atom. The mass density is 6.4 Mg/m³. The value obtained for the formation energy is 0.363 eV per atom.

VASP calculation (PBE-GGA) on InTePt2 after structural relaxation.

POSCAR file:
```
InTePt2
1.0
2.002 1.156 6.744
-2.002 1.156 6.744
0.000 -2.311 6.744
In Te Pt
1 1 2
Direct
0.000 0.000 0.000
0.202 0.202 0.202
0.473 0.473 0.473
0.736 0.736 0.736
```

## Properties
Its crystal system is trigonal. The value obtained for the energy above the most stable polymorph in this dataset is 100.1 meV per atom. The space-group type is No. 160. For the uncorrected energy, the calculation gives -4.68 eV per atom. The mass density is 11.2 Mg/m³. For the raw formation energy, the calculation gives -0.19 eV/atom.

VASP calculation (PBE-GGA) on ZrH2Pt after structural relaxation.

POSCAR file:
```
ZrH2Pt
1.0
-2.113 2.113 5.022
2.113 -2.113 5.022
2.113 2.113 -5.022
Zr H Pt
2 4 2
Direct
0.000 0.000 0.000
0.750 0.250 0.500
0.184 0.625 0.059
0.375 0.434 0.559
0.566 0.125 0.941
0.875 0.816 0.441
0.250 0.750 0.500
0.500 0.500 0.000
```

## Properties
Its crystal system is tetragonal. The value obtained for the energy above the most stable polymorph in this dataset is 0.0 meV per atom. The space-group type is No. 122. For the uncorrected energy, the calculation gives -5.65 eV per atom. The mass density is 10.7 Mg/m³.

VASP calculation (PBE-GGA) on PmDySc after structural relaxation.

POSCAR file:
```
PmDySc
1.0
3.506 0.000 0.000
0.000 3.509 0.000
-0.014 0.000 14.640
Pm Dy Sc
2 2 2
Direct
0.250 0.250 0.092
0.750 0.750 0.908
0.250 0.250 0.731
0.750 0.750 0.269
0.250 0.250 0.429
0.750 0.750 0.571
```

## Properties
Its crystal system is monoclinic. The value obtained for the energy above the most stable polymorph in this dataset is 3.7 meV per atom. The space-group type is No. 11. For the uncorrected energy, the calculation gives -5.17 eV per atom. The mass density is 6.5 Mg/m³. The value obtained for the formation energy is 0.054 eV per atom.